A.
VASP calculation (PBE-GGA) on V6MoW3 after structural relaxation.

```
data_V6MoW3
_chemical_formula_sum 'V12 Mo2 W6'
_cell_length_a 7.527
_cell_length_b 4.325
_cell_length_c 9.205
_cell_angle_alpha 90.00
_cell_angle_beta 105.51
_cell_angle_gamma 90.00
_space_group_name_H-M_alt 'P 1 21/m 1'
_space_group_IT_number 11
_space_group_name_Hall '-P 2yb'
loop_
_atom_site_label
_atom_site_type_symbol
_atom_site_fract_x
_atom_site_fract_y
_atom_site_fract_z
V1 V 0.049 0.250 0.400
V2 V 0.148 0.750 0.200
V3 V 0.150 0.250 0.698
V4 V 0.248 0.250 0.999
V5 V 0.348 0.750 0.800
V6 V 0.449 0.250 0.600
Mo1 Mo 0.051 0.750 0.897
W1 W 0.246 0.750 0.501
W2 W 0.351 0.250 0.301
W3 W 0.453 0.750 0.102
```

=====

B.
VASP calculation (PBE-GGA) on V6MoW3 after structural relaxation.

```
data_V6MoW3
_chemical_formula_sum 'V12 Mo2 W6'
_cell_length_a 9.137
_cell_length_b 2.987
_cell_length_c 11.867
_cell_angle_alpha 90.00
_cell_angle_beta 111.46
_cell_angle_gamma 90.00
_space_group_name_H-M_alt 'P 1 21/m 1'
_space_group_IT_number 11
_space_group_name_Hall '-P 2yb'
loop_
_atom_site_label
_atom_site_type_symbol
_atom_site_fract_x
_atom_site_fract_y
_atom_site_fract_z
V1 V 0.015 0.250 0.323
V2 V 0.130 0.250 0.859
V3 V 0.245 0.750 0.304
V4 V 0.276 0.750 0.717
V5 V 0.285 0.750 0.056
V6 V 0.389 0.250 0.516
Mo1 Mo 0.445 0.250 0.269
W1 W 0.082 0.250 0.101
W2 W 0.137 0.750 0.506
W3 W 0.425 0.250 0.902
```

=====

A has the most favorable energy; the next structure is 0.331 eV/atom above.

=====

A.
VASP calculation (PBE-GGA) on V6Mo3W after structural relaxation.

```
data_V6Mo3W
_chemical_formula_sum 'V12 Mo6 W2'
_cell_length_a 7.518
_cell_length_b 4.325
_cell_length_c 9.169
_cell_angle_alpha 90.00
_cell_angle_beta 105.49
_cell_angle_gamma 90.00
_space_group_name_H-M_alt 'P 1 21/m 1'
_space_group_IT_number 11
_space_group_name_Hall '-P 2yb'
loop_
_atom_site_label
_atom_site_type_symbol
_atom_site_fract_x
_atom_site_fract_y
_atom_site_fract_z
V1 V 0.050 0.250 0.400
V2 V 0.151 0.750 0.201
V3 V 0.250 0.250 0.000
V4 V 0.349 0.750 0.798
V5 V 0.351 0.250 0.297
V6 V 0.450 0.250 0.599
Mo1 Mo 0.048 0.750 0.898
Mo2 Mo 0.150 0.250 0.698
Mo3 Mo 0.255 0.750 0.497
W1 W 0.449 0.750 0.102
```

=====

B.
VASP calculation (PBE-GGA) on V6Mo3W after structural relaxation.

```
data_V6Mo3W
_chemical_formula_sum 'V12 Mo6 W2'
_cell_length_a 9.099
_cell_length_b 2.997
_cell_length_c 11.762
_cell_angle_alpha 90.00
_cell_angle_beta 111.47
_cell_angle_gamma 90.00
_space_group_name_H-M_alt 'P 1 21/m 1'
_space_group_IT_number 11
_space_group_name_Hall '-P 2yb'
loop_
_atom_site_label
_atom_site_type_symbol
_atom_site_fract_x
_atom_site_fract_y
_atom_site_fract_z
V1 V 0.043 0.250 0.282
V2 V 0.204 0.750 0.676
V3 V 0.234 0.250 0.862
V4 V 0.272 0.750 0.062
V5 V 0.373 0.750 0.486
V6 V 0.444 0.250 0.695
Mo1 Mo 0.021 0.750 0.100
Mo2 Mo 0.130 0.250 0.495
Mo3 Mo 0.484 0.750 0.899
W1 W 0.316 0.250 0.273
```

=====

A has the most favorable energy; the next structure is 0.312 eV/atom above.

=====

A.
VASP calculation (PBE-GGA) on V3Mo6W after structural relaxation.

```
data_V3Mo6W
_chemical_formula_sum 'V6 Mo12 W2'
_cell_length_a 9.574
_cell_length_b 3.098
_cell_length_c 11.141
_cell_angle_alpha 90.00
_cell_angle_beta 108.63
_cell_angle_gamma 90.00
_space_group_name_H-M_alt 'P 1 21/m 1'
_space_group_IT_number 11
_space_group_name_Hall '-P 2yb'
loop_
_atom_site_label
_atom_site_type_symbol
_atom_site_fract_x
_atom_site_fract_y
_atom_site_fract_z
V1 V 0.077 0.250 0.080
V2 V 0.357 0.750 0.472
V3 V 0.412 0.250 0.900
Mo1 Mo 0.105 0.250 0.470
Mo2 Mo 0.217 0.750 0.254
Mo3 Mo 0.238 0.750 0.969
Mo4 Mo 0.242 0.750 0.688
Mo5 Mo 0.405 0.250 0.161
Mo6 Mo 0.457 0.250 0.650
W1 W 0.066 0.250 0.766
```

=====

B.
VASP calculation (PBE-GGA) on V3Mo6W after structural relaxation.

```
data_V3Mo6W
_chemical_formula_sum 'V6 Mo12 W2'
_cell_length_a 2.734
_cell_length_b 9.189
_cell_length_c 12.668
_cell_angle_alpha 105.70
_cell_angle_beta 94.17
_cell_angle_gamma 95.49
_space_group_name_H-M_alt 'P -1'
_space_group_IT_number 2
_space_group_name_Hall '-P 1'
loop_
_atom_site_label
_atom_site_type_symbol
_atom_site_fract_x
_atom_site_fract_y
_atom_site_fract_z
V1 V 0.101 0.123 0.176
V2 V 0.297 0.376 0.524
V3 V 0.302 0.122 0.774
Mo1 Mo 0.095 0.373 0.923
Mo2 Mo 0.096 0.625 0.672
Mo3 Mo 0.102 0.873 0.425
Mo4 Mo 0.300 0.628 0.278
Mo5 Mo 0.301 0.878 0.027
Mo6 Mo 0.499 0.876 0.627
W1 W 0.497 0.629 0.874
```

=====

B has the most favorable energy; the next structure is 0.352 eV/atom above.

=====

A.
VASP calculation (PBE-GGA) on V3Mo8W2 after structural relaxation.

```
data_V3Mo8W2
_chemical_formula_sum 'V6 Mo16 W4'
_cell_length_a 12.849
_cell_length_b 6.807
_cell_length_c 5.187
_cell_angle_alpha 90.00
_cell_angle_beta 109.81
_cell_angle_gamma 90.00
_space_group_name_H-M_alt 'C 1 2/m 1'
_space_group_IT_number 12
_space_group_name_Hall '-C 2y'
loop_
_atom_site_label
_atom_site_type_symbol
_atom_site_fract_x
_atom_site_fract_y
_atom_site_fract_z
V1 V 0.000 0.000 0.000
V2 V 0.000 0.162 0.500
Mo1 Mo 0.097 0.500 0.679
Mo2 Mo 0.108 0.308 0.166
Mo3 Mo 0.199 0.000 0.943
W1 W 0.211 0.000 0.466
```

=====

B.
VASP calculation (PBE-GGA) on V3Mo8W2 after structural relaxation.

```
data_V3Mo8W2
_chemical_formula_sum 'V6 Mo16 W4'
_cell_length_a 14.150
_cell_length_b 6.659
_cell_length_c 4.537
_cell_angle_alpha 90.00
_cell_angle_beta 90.07
_cell_angle_gamma 90.00
_space_group_name_H-M_alt 'C 1 2/m 1'
_space_group_IT_number 12
_space_group_name_Hall '-C 2y'
loop_
_atom_site_label
_atom_site_type_symbol
_atom_site_fract_x
_atom_site_fract_y
_atom_site_fract_z
V1 V 0.000 0.000 0.000
V2 V 0.000 0.297 0.500
Mo1 Mo 0.102 0.302 0.000
Mo2 Mo 0.121 0.000 0.500
Mo3 Mo 0.171 0.500 0.500
W1 W 0.219 0.000 0.000
```

=====

B has the most favorable energy; the next structure is 0.087 eV/atom above.